A relaxed structure of PrHoTl, computed with PBE-GGA.

The space group is F-43m (No. 216) and the conventional cell measures 7.4277, 7.4277 and 7.4277 Å, with angles of 90.00, 90.00 and 90.00 degrees. Symmetry generates all atoms from Pr at (0.0000, 0.0000, 0.0000), Ho at (0.0000, 0.0000, 0.5000) and Tl at (0.2500, 0.2500, 0.7500).

As for the crystal system: cubic.

=====

A relaxed structure of PrHoW, computed with PBE-GGA.

The space group is F-43m (No. 216) and the conventional cell measures 6.9618, 6.9618 and 6.9618 Å, with angles of 90.00, 90.00 and 90.00 degrees. Symmetry generates all atoms from Pr at (0.0000, 0.0000, 0.0000), Ho at (0.0000, 0.0000, 0.5000) and W at (0.2500, 0.2500, 0.7500).

As for the crystal system: cubic.

=====

E: -47.28, -78.99 (eV/cell)